# CeIn3Pd (PBE, optimized geometry)
# N(E_F) in states/eV per atom: 1.49
# Formation energy from the elements in meV per atom: -470
data_CeIn3Pd
_chemical_formula_sum 'Ce4 In12 Pd4'
_cell_length_a 9.0912
_cell_length_b 4.5456
_cell_length_c 11.6886
_cell_angle_alpha 90.00
_cell_angle_beta 90.00
_cell_angle_gamma 90.00
_space_group_name_H-M_alt 'P n m a'
_space_group_IT_number 62
loop_
_space_group_symop_operation_xyz
'x,y,z'
'-x,-y,-z'
'-x+1/2,-y,z+1/2'
'x+1/2,y,-z+1/2'
'x+1/2,-y+1/2,-z+1/2'
'-x+1/2,y+1/2,z+1/2'
'-x,y+1/2,-z'
'x,-y+1/2,z'
loop_
_atom_site_label
_atom_site_type_symbol
_atom_site_fract_x
_atom_site_fract_y
_atom_site_fract_z
_atom_site_occupancy
Ce1 Ce 0.1934 0.2500 0.0098 1
In1 In 0.0645 0.2500 0.5880 1
In2 In 0.1074 0.7500 0.8104 1
In3 In 0.1390 0.7500 0.2096 1
Pd1 Pd 0.1019 0.2500 0.3544 1